# MgAs3

An optimized crystal structure of MgAs3 (PBE-GGA, the Alexandria database).

CIF file:
```
data_MgAs3
_chemical_formula_sum 'Mg1 As3'
_space_group_name_H-M_alt 'P 1'
_space_group_IT_number 1
_cell_length_a 4.807
_cell_length_b 4.807
_cell_length_c 4.807
_cell_angle_alpha 60.00
_cell_angle_beta 60.00
_cell_angle_gamma 60.00
loop_
_space_group_symop_operation_xyz
'x,y,z'
loop_
_atom_site_label
_atom_site_fract_x
_atom_site_fract_y
_atom_site_fract_z
_atom_site_occupancy
As1 0.500 0.500 0.500 1
As2 0.250 0.250 0.250 1
As3 0.000 0.000 0.000 1
Mg1 0.750 0.750 0.750 1
```

Output
Volume ... 19.635 Å³ per atom
Energy of formation ... 0.158 eV per atom
Magnetic moment ... 0.0 μB/f.u.